VASP calculation (GGA-PBE) on an optimized crystal structure of YBePt3.

The structure in POSCAR format:
```
YBePt3
1.0
4.015 0.000 0.000
0.000 4.015 0.000
0.000 0.000 5.229
Pt Y Be
3 1 1
direct
0.500 0.000 0.316
0.000 0.000 0.684
0.000 0.500 0.316
0.500 0.500 0.847
0.000 0.000 0.100
```

Calculated values
The total energy comes out at -6.601 eV per atom. As for the relative energy among the computed polymorphs: 0.0180 eV/atom. For the calculated volume, the calculation gives 84.3 Å³ per cell. The space group is No. 99. Its density of states at the Fermi level is 0.47 states/eV per atom.

---

VASP calculation (GGA-PBE) on an optimized crystal structure of AcLaAlPb.

The structure in POSCAR format:
```
AcLaAlPb
1.0
5.655 0.000 0.000
2.828 4.898 0.000
2.828 1.633 4.618
La Al Ac Pb
1 1 1 1
direct
0.500 0.500 0.500
0.750 0.750 0.750
0.000 0.000 0.000
0.250 0.250 0.250
```

Calculated values
The total energy comes out at -4.471 eV per atom. For the calculated volume, the calculation gives 127.9 Å³ per cell. The space group is No. 216. Its density of states at the Fermi level is 0.54 states/eV per atom.

---

VASP calculation (GGA-PBE) on an optimized crystal structure of RbCaSbTe2.

The structure in POSCAR format:
```
RbCaSbTe2
1.0
6.153 0.000 0.000
0.000 5.854 0.000
0.000 0.000 6.153
Sb Rb Te Ca
1 1 2 1
direct
0.000 0.500 0.000
0.000 0.000 0.000
0.000 0.000 0.500
0.500 0.000 0.000
0.500 0.500 0.500
```

Calculated values
The total energy comes out at -2.208 eV per atom. The formation energy from raw total energies is 0.47 eV/atom. As for the relative energy among the computed polymorphs: 0.8131 eV/atom. For the calculated volume, the calculation gives 221.6 Å³ per cell. The space group is No. 123. Its density of states at the Fermi level is 0.92 states/eV per atom.

---

VASP calculation (GGA-PBE) on an optimized crystal structure of AgP2.

The structure in POSCAR format:
```
AgP2
1.0
-5.466 0.413 -2.584
-5.774 -0.297 1.817
5.619 2.147 0.739
P Ag
2 1
direct
0.784 0.784 0.000
0.216 0.216 0.000
0.000 0.000 0.000
```

Calculated values
The total energy comes out at -4.406 eV per atom. As for the relative energy among the computed polymorphs: 0.1513 eV/atom. For the calculated volume, the calculation gives 56.2 Å³ per cell. The space group is No. 139. Its density of states at the Fermi level is 0.14 states/eV per atom.

---

VASP calculation (GGA-PBE) on an optimized crystal structure of ScMoBr2.

The structure in POSCAR format:
```
ScMoBr2
1.0
-3.976 6.972 0.448
-4.648 5.550 3.494
3.670 1.548 1.532
Br Sc Mo
2 1 1
direct
0.987 0.987 0.294
0.761 0.761 0.728
0.149 0.149 0.003
0.603 0.603 0.476
```

Calculated values
The total energy comes out at -5.441 eV per atom. The formation energy from raw total energies is -0.31 eV/atom. As for the relative energy among the computed polymorphs: 0.0445 eV/atom. For the calculated volume, the calculation gives 114.4 Å³ per cell. The space group is No. 8. Its density of states at the Fermi level is 0.35 states/eV per atom.

---

VASP calculation (GGA-PBE) on an optimized crystal structure of PaTl3Sb2Se6.

The structure in POSCAR format:
```
PaTl3Sb2Se6
1.0
-0.743 -3.196 6.492
6.506 2.491 -2.093
-3.532 7.229 1.807
Se Pa Tl Sb
6 1 3 2
direct
0.395 0.067 0.204
0.605 0.933 0.796
0.258 0.258 0.795
0.742 0.742 0.205
0.067 0.395 0.204
0.933 0.605 0.796
0.000 0.000 0.000
0.165 0.835 0.500
0.835 0.165 0.500
0.500 0.500 0.500
0.667 0.333 0.000
0.333 0.667 0.000
```

Calculated values
The total energy comes out at -4.372 eV per atom. The formation energy from raw total energies is -0.56 eV/atom. For the calculated volume, the calculation gives 361.9 Å³ per cell. The space group is No. 12. Its density of states at the Fermi level is 0.74 states/eV per atom.

---

VASP calculation (GGA-PBE) on an optimized crystal structure of NaPbAu2.

The structure in POSCAR format:
```
NaPbAu2
1.0
4.177 0.000 0.000
2.089 3.618 0.000
2.089 1.206 7.132
Na Au Pb
1 2 1
direct
0.668 0.668 0.996
0.247 0.247 0.259
0.087 0.087 0.740
0.499 0.499 0.504
```

Calculated values
The total energy comes out at -2.908 eV per atom. For the calculated volume, the calculation gives 107.8 Å³ per cell. The space group is No. 160. Its density of states at the Fermi level is 0.48 states/eV per atom.

---

VASP calculation (GGA-PBE) on an optimized crystal structure of UPdRh.

The structure in POSCAR format:
```
UPdRh
1.0
3.475 0.000 0.000
0.000 3.475 0.000
-1.738 -1.738 4.605
U Pd Rh
1 1 1
direct
0.324 0.324 0.647
0.000 0.000 0.001
0.676 0.676 0.352
```

Calculated values
The total energy comes out at -8.276 eV per atom. As for the relative energy among the computed polymorphs: 0.0000 eV/atom. For the calculated volume, the calculation gives 55.6 Å³ per cell. The space group is No. 107. Its density of states at the Fermi level is 1.67 states/eV per atom.

---

- Look up the calculated volume of the third one.
  221.6 Å³ per cell

---

Copy entry 3 word for word.
VASP calculation (GGA-PBE) on an optimized crystal structure of RbCaSbTe2.

The structure in POSCAR format:
```
RbCaSbTe2
1.0
6.153 0.000 0.000
0.000 5.854 0.000
0.000 0.000 6.153
Sb Rb Te Ca
1 1 2 1
direct
0.000 0.500 0.000
0.000 0.000 0.000
0.000 0.000 0.500
0.500 0.000 0.000
0.500 0.500 0.500
```

Calculated values
The total energy comes out at -2.208 eV per atom. The formation energy from raw total energies is 0.47 eV/atom. As for the relative energy among the computed polymorphs: 0.8131 eV/atom. For the calculated volume, the calculation gives 221.6 Å³ per cell. The space group is No. 123. Its density of states at the Fermi level is 0.92 states/eV per atom.

---

- The highest calculated volume belongs to which entry?
  PaTl3Sb2Se6